The following is a DFT calculation (GGA-PBE) of an optimized crystal structure of ZnCu3Sn4O12.

Geometry as POSCAR:
```
ZnCu3Sn4O12
1.0
-3.867 3.867 3.867
3.867 -3.867 3.867
3.867 3.867 -3.867
Sn O Cu Zn
4 12 3 1
Direct
0.500 0.500 0.500
0.500 0.000 0.000
0.000 0.000 0.500
0.000 0.500 0.000
0.169 0.477 0.308
0.692 0.169 0.861
0.169 0.861 0.692
0.692 0.831 0.523
0.308 0.831 0.139
0.308 0.169 0.477
0.477 0.308 0.169
0.831 0.523 0.692
0.831 0.139 0.308
0.523 0.692 0.831
0.861 0.692 0.169
0.139 0.308 0.831
0.500 0.000 0.500
0.500 0.500 0.000
0.000 0.500 0.500
0.000 0.000 0.000
```

- raw formation energy (kJ/mol of atoms) = -110
- crystal system = cubic

The following is a DFT calculation (GGA-PBE) of an optimized crystal structure of ZnCuSnO4.

Geometry as POSCAR:
```
ZnCuSnO4
1.0
5.876 0.000 0.000
2.938 5.574 0.230
2.938 1.917 5.239
Sn O Zn Cu
2 8 2 2
Direct
0.000 0.500 0.500
0.000 0.000 0.000
0.772 0.198 0.257
0.253 0.735 0.235
0.777 0.735 0.235
0.747 0.265 0.765
0.772 0.757 0.698
0.223 0.265 0.765
0.228 0.802 0.743
0.228 0.243 0.302
0.653 0.597 0.097
0.347 0.403 0.903
0.000 0.000 0.500
0.500 0.000 0.500
```

- raw formation energy (kJ/mol of atoms) = -119
- crystal system = orthorhombic